# 1
MnSi2 | Alexandria | PBE-GGA | relaxed; DFT total energy = -6.800 eV/atom; formation energy without anion corrections = -12.36 kJ/mol of atoms
1.0
2.783 0.000 0.000
-1.391 2.410 0.000
0.000 0.000 5.542
Mn Si
1 2
direct
0.000 0.000 0.000 Mn
0.333 0.667 0.312 Si
0.667 0.333 0.688 Si

# 2
Pa2FeCo4As3 | Alexandria | PBE-GGA | relaxed; energy of formation from the pure elements = -0.619 eV per atom; DFT total energy = -7.601 eV/atom
1.0
3.988 0.000 0.000
0.000 3.988 0.000
0.000 0.000 9.647
Pa Fe Co As
2 1 4 3
direct
0.000 0.500 0.249 Pa
0.500 0.000 0.751 Pa
0.000 0.000 0.500 Fe
0.000 0.000 0.000 Co
0.000 0.500 0.629 Co
0.500 0.000 0.371 Co
0.500 0.500 0.000 Co
0.000 0.500 0.868 As
0.500 0.000 0.132 As
0.500 0.500 0.500 As

# 3
Pa2Si2Ge | Alexandria | PBE-GGA | relaxed; DFT total energy = -7.334 eV/atom; formation energy without anion corrections = -42.75 kJ/mol of atoms
1.0
-1.965 3.065 4.242
1.965 -3.065 4.242
1.965 3.065 -4.242
Pa Si Ge
2 2 1
direct
0.226 0.226 0.000 Pa
0.774 0.774 0.000 Pa
0.193 0.500 0.693 Si
0.807 0.500 0.307 Si
0.500 0.000 0.500 Ge

# 4
SrAc3La | Alexandria | PBE-GGA | relaxed; energy of formation from the pure elements = 0.333 eV per atom; DFT total energy = -3.453 eV/atom
1.0
3.384 1.954 12.631
-3.384 1.954 12.631
0.000 -3.907 12.631
Sr Ac La
2 6 2
direct
0.166 0.166 0.166 Sr
0.834 0.834 0.834 Sr
0.079 0.408 0.746 Ac
0.254 0.921 0.592 Ac
0.408 0.746 0.079 Ac
0.592 0.254 0.921 Ac
0.746 0.079 0.408 Ac
0.921 0.592 0.254 Ac
0.334 0.334 0.334 La
0.666 0.666 0.666 La